Entry 1:
DFT (PBE) results for U3CuSe6 after structural relaxation.

ρ (g/cm3): 8.22
D(E_F) (states/eV/cell): 37.345
E_form (uncorrected) (eV/f.u.): -10.0

Unit cell a=8.775 b=8.775 c=6.693 alpha=90.00 beta=90.00 gamma=101.25
Positions (direct):
U 0.106 0.894 0.500
U 0.226 0.428 0.604
U 0.428 0.226 0.104
U 0.572 0.774 0.604
U 0.774 0.572 0.104
U 0.894 0.106 0.000
Cu 0.296 0.704 0.162
Cu 0.704 0.296 0.662
Se 0.054 0.591 0.330
Se 0.128 0.198 0.303
Se 0.198 0.128 0.803
Se 0.273 0.727 0.794
Se 0.409 0.946 0.330
Se 0.465 0.535 0.298
Se 0.535 0.465 0.798
Se 0.591 0.054 0.830
Se 0.727 0.273 0.294
Se 0.802 0.872 0.303
Se 0.872 0.802 0.803
Se 0.946 0.409 0.830

=====

Entry 2:
DFT (PBE) results for CsCdInHg2 after structural relaxation.

Excess energy over the best structure of this formula in the dataset (eV per atom): 0.0000
ρ (g/cm3): 7.47
D(E_F) (states/eV/cell): 2.375

Unit cell a=7.499 b=7.499 c=7.499 alpha=140.49 beta=140.49 gamma=57.11
Positions (direct):
Cs 0.000 0.000 0.000
Cd 0.250 0.750 0.500
In 0.750 0.250 0.500
Hg 0.378 0.378 0.000
Hg 0.622 0.622 0.000

=====

Entry 3:
DFT (PBE) results for CePmSnI after structural relaxation.

ρ (g/cm3): 7.44
D(E_F) (states/eV/cell): 6.372
E_form (uncorrected) (eV/f.u.): -2.8

Unit cell a=5.513 b=5.513 c=5.513 alpha=60.00 beta=60.00 gamma=60.00
Positions (direct):
Ce 0.000 0.000 0.000
Pm 0.500 0.500 0.500
Sn 0.250 0.250 0.250
I 0.750 0.750 0.750

=====

Entry 4:
DFT (PBE) results for CsErC2O6 after structural relaxation.

ρ (g/cm3): 4.80
D(E_F) (states/eV/cell): 0.000
E_form (uncorrected) (eV/f.u.): -21.3

Unit cell a=6.485 b=6.485 c=7.452 alpha=105.06 beta=105.06 gamma=91.44
Positions (direct):
Cs 0.097 0.903 0.750
Cs 0.903 0.097 0.250
Er 0.406 0.594 0.250
Er 0.594 0.406 0.750
C 0.152 0.411 0.770
C 0.411 0.152 0.270
C 0.589 0.848 0.730
C 0.848 0.589 0.230
O 0.049 0.601 0.242
O 0.227 0.297 0.635
O 0.295 0.542 0.917
O 0.297 0.227 0.135
O 0.399 0.951 0.258
O 0.458 0.705 0.583
O 0.542 0.295 0.417
O 0.601 0.049 0.742
O 0.703 0.773 0.865
O 0.705 0.458 0.083
O 0.773 0.703 0.365
O 0.951 0.399 0.758